No. 1
Material: CaLaDy4S8
Method: DFT, GGA-PBE
State: relaxed

Formation energy without anion corrections   -2.007 eV/atom

Cell and atoms, written as extended XYZ:
```
14
Lattice="8.104 0.000 0.000 4.052 7.018 0.000 4.052 2.339 6.765" Properties=species:S:1:pos:R:3 pbc="T T T"
La 4.052 2.339 6.737
S 6.000 5.894 1.822
Ca 8.104 4.679 5.941
S 8.104 7.168 4.920
S 8.104 2.249 1.822
S 4.052 2.339 1.905
Dy 2.056 1.187 3.396
S 10.208 5.894 1.822
Dy 4.052 4.645 3.396
Dy 6.048 1.187 3.396
S 10.259 3.435 4.920
S 5.949 3.435 4.920
Dy 8.104 4.679 0.828
S 12.156 7.018 4.910
```

***

No. 2
Material: Te3C
Method: DFT, GGA-PBE
State: relaxed

Formation energy without anion corrections   1.122 eV/atom
Distance to the lowest polymorph of the same formula   1.27 eV per formula unit

Cell and atoms, written as extended XYZ:
```
4
Lattice="6.274 0.117 0.005 0.830 6.220 -0.005 -1.606 -5.350 2.860" Properties=species:S:1:pos:R:3 pbc="T T T"
Te -0.388 0.435 1.427
Te 4.777 4.261 0.000
Te 2.328 2.076 0.000
C 2.334 -2.616 1.433
```

***

No. 3
Material: CuNiTe2I
Method: DFT, GGA-PBE
State: relaxed

Formation energy without anion corrections   0.871 eV/atom
Distance to the lowest polymorph of the same formula   1.32 eV per formula unit

Cell and atoms, written as extended XYZ:
```
5
Lattice="5.135 0.000 0.000 0.000 5.135 0.000 0.000 0.000 5.331" Properties=species:S:1:pos:R:3 pbc="T T T"
I 0.000 0.000 2.665
Cu 0.000 0.000 0.000
Te 2.568 0.000 0.000
Ni 2.568 2.568 2.665
Te 0.000 2.568 0.000
```